[1]
DFT (PBE-GGA) results for an optimized crystal structure of Mg2SiBr.

Cell: 5.095 5.093 3.255 Å, 90.00 90.00 90.00°
Positions (direct):
Mg: 0.500 0.500 0.000
Mg: 0.000 0.000 0.000
Br: 0.000 0.500 0.500
Si: 0.500 0.000 0.500

## Properties
Calculated volume ... 84.5 Å³/f.u.
Raw total energy ... -2.712 eV/atom
D(E_F) ... 2.31 states/eV per cell
Mass density ... 3078 kg/m³
Raw formation energy ... -0.14 eV per atom
E above lowest polymorph ... 230 meV per atom

---

[2]
DFT (PBE-GGA) results for an optimized crystal structure of Mg2SiBr.

Cell: 6.403 6.403 7.421 Å, 64.44 64.44 90.00°
Last column: magnetic moment on the atom in μB.
Positions (direct):
Mg: 0.154 0.625 0.250  0.02
Mg: 0.875 0.846 0.750  0.02
Mg: 0.596 0.125 0.250  0.02
Mg: 0.375 0.404 0.750  0.02
Br: 0.000 0.000 0.000  0.02
Br: 0.750 0.250 0.500  0.02
Si: 0.250 0.750 0.500  0.25
Si: 0.500 0.500 0.000  0.25

## Properties
Calculated volume ... 120.5 Å³/f.u.
Raw total energy ... -2.732 eV/atom
D(E_F) ... 1.54 states/eV per cell
Mass density ... 2157 kg/m³
Raw formation energy ... -0.16 eV per atom
E above lowest polymorph ... 210 meV per atom

---

[3]
DFT (PBE-GGA) results for an optimized crystal structure of Mg2SiBr.

Cell: 4.947 4.947 4.947 Å, 60.00 60.00 60.00°
Positions (direct):
Mg: 0.250 0.250 0.250
Mg: 0.750 0.750 0.750
Si: 0.000 0.000 0.000
Br: 0.500 0.500 0.500

## Properties
Calculated volume ... 85.6 Å³/f.u.
Raw total energy ... -2.489 eV/atom
D(E_F) ... 4.66 states/eV per cell
Mass density ... 3038 kg/m³
Raw formation energy ... 0.08 eV per atom
E above lowest polymorph ... 453 meV per atom

---

[4]
DFT (PBE-GGA) results for an optimized crystal structure of MgSiBr.

Cell: 3.740 3.740 12.424 Å, 97.81 90.39 119.99°
Positions (direct):
Mg: 0.068 0.126 0.704
Mg: 0.932 0.874 0.296
Br: 0.777 0.538 0.831
Br: 0.223 0.462 0.169
Si: 0.653 0.308 0.458
Si: 0.347 0.692 0.542

## Properties
Calculated volume ... 74.3 Å³/f.u.
Raw total energy ... -3.550 eV/atom
D(E_F) ... 0.34 states/eV per cell
Mass density ... 2958 kg/m³
Raw formation energy ... -0.65 eV per atom